Entry 1:
A plane-wave DFT calculation with SCAN was carried out for CrCdAu3 at its PBEsol-relaxed geometry.

abc: 5.011 5.011 5.011
angles: 90.00 90.00 90.00
Space group Pm-3m (No. 221)
Unique sites:
Cr: 0.000 0.000 0.000 x1
Cd: 0.500 0.500 0.500 x1
Au: 0.000 0.500 0.500 x3

Properties
Electronic total energy (eV per atom): -50.47
Energy relative to the elements (eV per atom): 0.782

=====

Entry 2:
A plane-wave DFT calculation with SCAN was carried out for CsCd2Au at its PBEsol-relaxed geometry.

abc: 5.625 5.625 18.623
angles: 90.00 90.00 90.00
Space group I4_1/amd (No. 141, origin choice 2)
Unique sites:
Cs: 0.000 0.250 0.375 x4
Cd: 0.000 0.000 0.000 x8
Au: 0.000 0.250 0.875 x4

Properties
Electronic total energy (eV per atom): -42.07
Energy relative to the elements (eV per atom): -0.123

=====

Copy entry 1 word for word.
A plane-wave DFT calculation with SCAN was carried out for CrCdAu3 at its PBEsol-relaxed geometry.

abc: 5.011 5.011 5.011
angles: 90.00 90.00 90.00
Space group Pm-3m (No. 221)
Unique sites:
Cr: 0.000 0.000 0.000 x1
Cd: 0.500 0.500 0.500 x1
Au: 0.000 0.500 0.500 x3

Properties
Electronic total energy (eV per atom): -50.47
Energy relative to the elements (eV per atom): 0.782